Compound: EuCd6
Source: the Alexandria database
Functional: PBE
Structure: optimized geometry

Cell: 6.797 6.797 6.797 Å, 109.47 109.47 109.47°
Sites, in units of the cell vectors:
Cd1 0.500 0.750 0.250
Cd2 0.750 0.250 0.500
Cd3 0.500 0.250 0.750
Cd4 0.250 0.500 0.750
Cd5 0.250 0.750 0.500
Cd6 0.750 0.500 0.250
Eu1 0.000 0.000 0.000

## Properties
Fermi-level density of states (states/eV per cell): 6.01
Crystal system: cubic
SG: Im-3m, No. 229



Compound: TbErHg
Source: the Alexandria database
Functional: PBE
Structure: optimized geometry

Cell: 5.085 5.085 5.085 Å, 60.00 60.00 60.00°
Sites, in units of the cell vectors:
Hg1 0.250 0.250 0.250
Er1 0.500 0.500 0.500
Tb1 0.000 0.000 0.000

## Properties
Excess energy over the best structure of this formula in the dataset (kJ/mol of formula units): 72
Fermi-level density of states (states/eV per cell): 3.50
Crystal system: cubic
SG: F-43m, No. 216



no.,energy relative to the elements (eV per atom)
1,0.205
2,-0.112